Record 1
The following is a PBE-GGA calculation of a relaxed Ba2Sb2Au crystal, from Alexandria.

Cell and atoms, written as POSCAR:
```
Ba2Sb2Au
1.0
-6.496 -2.677 -7.128
-1.729 -8.607 4.808
-2.812 1.650 1.943
Sb Au Ba
4 2 4
Direct
0.159 0.659 0.500 Sb
0.659 0.841 0.500 Sb
0.841 0.341 0.500 Sb
0.341 0.159 0.500 Sb
0.000 0.000 0.000 Au
0.500 0.500 0.000 Au
0.358 0.858 0.000 Ba
0.858 0.642 0.000 Ba
0.642 0.142 0.000 Ba
0.142 0.358 0.000 Ba
```

Output
Energy above the most stable polymorph in this dataset ... 0.602 eV/atom
E_form (uncorrected) ... -144 kJ/mol of formula units
Raw total energy ... -3.37 eV/atom

***

Record 2
The following is a PBE-GGA calculation of a relaxed BaSb2Au2 crystal, from Alexandria.

Cell and atoms, written as POSCAR:
```
BaSb2Au2
1.0
-2.504 5.603 -5.867
1.202 -5.816 -6.068
-3.479 -1.136 0.399
Sb Au Ba
4 4 2
Direct
0.186 0.686 0.500 Sb
0.686 0.814 0.500 Sb
0.814 0.314 0.500 Sb
0.314 0.186 0.500 Sb
0.382 0.882 0.000 Au
0.882 0.618 0.000 Au
0.618 0.118 0.000 Au
0.118 0.382 0.000 Au
0.000 0.000 0.000 Ba
0.500 0.500 0.000 Ba
```

Output
E_form (uncorrected) ... -157 kJ/mol of formula units
Raw total energy ... -3.67 eV/atom

***

Record 3
The following is a PBE-GGA calculation of a relaxed Ba2SbAuSe5 crystal, from Alexandria.

Cell and atoms, written as POSCAR:
```
Ba2SbAuSe5
1.0
-2.893 -2.115 2.395
7.988 -7.333 -0.703
4.926 4.421 9.855
Ba Sb Au Se
4 2 2 10
Direct
0.889 0.777 0.812 Ba
0.118 0.236 0.728 Ba
0.111 0.223 0.312 Ba
0.882 0.764 0.228 Ba
0.766 0.532 0.513 Sb
0.234 0.468 0.013 Sb
0.554 0.109 0.945 Au
0.446 0.891 0.445 Au
0.360 0.721 0.018 Se
0.732 0.464 0.852 Se
0.500 0.001 0.756 Se
0.274 0.548 0.673 Se
0.904 0.807 0.527 Se
0.640 0.279 0.518 Se
0.268 0.536 0.352 Se
0.500 0.999 0.256 Se
0.726 0.452 0.173 Se
0.096 0.193 0.027 Se
```

Output
E_form (uncorrected) ... -826 kJ/mol of formula units
Raw total energy ... -4.14 eV/atom

***

Record 4
The following is a PBE-GGA calculation of a relaxed Ba3SnSb2Au6 crystal, from Alexandria.

Cell and atoms, written as POSCAR:
```
Ba3SnSb2Au6
1.0
6.817 0.000 0.000
-3.409 5.904 0.000
0.000 0.000 8.939
Ba Sn Sb Au
3 1 2 6
Direct
0.333 0.667 0.649 Ba
0.667 0.333 0.351 Ba
0.000 0.000 0.000 Ba
0.000 0.000 0.500 Sn
0.667 0.333 0.925 Sb
0.333 0.667 0.075 Sb
0.648 0.824 0.298 Au
0.176 0.352 0.298 Au
0.176 0.824 0.298 Au
0.824 0.648 0.702 Au
0.352 0.176 0.702 Au
0.824 0.176 0.702 Au
```

Output
E_form (uncorrected) ... -655 kJ/mol of formula units
Raw total energy ... -3.71 eV/atom

***

Record 5
The following is a PBE-GGA calculation of a relaxed BaSnSbAu2 crystal, from Alexandria.

Cell and atoms, written as POSCAR:
```
BaSnSbAu2
1.0
-3.142 -3.575 -0.365
2.054 -1.389 -4.080
4.293 -1.132 5.340
Ba Sn Sb Au
1 1 1 2
Direct
0.000 0.000 0.000 Ba
0.250 0.750 0.500 Sn
0.750 0.250 0.500 Sb
0.614 0.614 0.228 Au
0.386 0.386 0.772 Au
```

Output
E_form (uncorrected) ... -271 kJ/mol of formula units
Raw total energy ... -3.88 eV/atom

***

Record 6
The following is a PBE-GGA calculation of a relaxed Ba2SnSbAu6 crystal, from Alexandria.

Cell and atoms, written as POSCAR:
```
Ba2SnSbAu6
1.0
9.545 -0.029 0.140
0.007 5.800 0.039
4.661 2.853 5.067
Ba Sn Sb Au
2 1 1 6
Direct
0.789 0.254 0.491 Ba
0.211 0.746 0.509 Ba
0.500 0.500 0.000 Sn
0.000 0.000 0.000 Sb
0.406 0.254 0.498 Au
0.743 0.750 0.005 Au
0.259 0.756 0.992 Au
0.741 0.244 0.008 Au
0.257 0.250 0.995 Au
0.594 0.746 0.502 Au
```

Output
E_form (uncorrected) ... -460 kJ/mol of formula units
Raw total energy ... -3.64 eV/atom

***

Record 7
The following is a PBE-GGA calculation of a relaxed Ba2SnSb3Au4 crystal, from Alexandria.

Cell and atoms, written as POSCAR:
```
Ba2SnSb3Au4
1.0
-0.091 3.743 3.186
-4.798 -0.760 0.756
2.459 -7.128 8.445
Ba Sn Sb Au
2 1 3 4
Direct
0.500 0.000 0.238 Ba
0.000 0.500 0.762 Ba
0.500 0.500 0.500 Sn
0.000 0.000 0.500 Sb
0.500 0.000 0.873 Sb
0.000 0.500 0.127 Sb
0.500 0.500 0.000 Au
0.000 0.000 0.000 Au
0.500 0.000 0.631 Au
0.000 0.500 0.369 Au
```

Output
E_form (uncorrected) ... -593 kJ/mol of formula units
Raw total energy ... -3.95 eV/atom

***

Record 8
The following is a PBE-GGA calculation of a relaxed Ba2SrSbAu crystal, from Alexandria.

Cell and atoms, written as POSCAR:
```
Ba2SrSbAu
1.0
-0.508 -4.855 4.645
-0.723 -3.667 -3.912
6.658 -0.988 -0.304
Sb Au Ba Sr
1 1 2 1
Direct
0.000 0.000 0.000 Sb
0.000 0.500 0.000 Au
0.000 0.000 0.500 Ba
0.500 0.000 0.000 Ba
0.500 0.500 0.500 Sr
```

Output
E_form (uncorrected) ... -102 kJ/mol of formula units
Raw total energy ... -2.80 eV/atom

***

Record 9
The following is a PBE-GGA calculation of a relaxed BaSb2TeAu crystal, from Alexandria.

Cell and atoms, written as POSCAR:
```
BaSb2TeAu
1.0
-0.498 5.338 -0.971
-3.704 -1.047 -3.856
-4.186 0.325 3.934
Sb Te Au Ba
2 1 1 1
Direct
0.000 0.500 0.000 Sb
0.500 0.000 0.000 Sb
0.000 0.000 0.500 Te
0.000 0.000 0.000 Au
0.500 0.500 0.500 Ba
```

Output
Energy above the most stable polymorph in this dataset ... 0.000 eV/atom
E_form (uncorrected) ... -130 kJ/mol of formula units
Raw total energy ... -3.59 eV/atom

***

Record 10
The following is a PBE-GGA calculation of a relaxed BaSbTe2Au crystal, from Alexandria.

Cell and atoms, written as POSCAR:
```
BaSbTe2Au
1.0
5.734 0.000 0.000
0.000 5.734 0.000
0.000 0.000 5.269
Sb Te Au Ba
1 2 1 1
Direct
0.000 0.000 0.500 Sb
0.000 0.500 0.000 Te
0.500 0.000 0.000 Te
0.000 0.000 0.000 Au
0.500 0.500 0.500 Ba
```

Output
Energy above the most stable polymorph in this dataset ... 0.000 eV/atom
E_form (uncorrected) ... -198 kJ/mol of formula units
Raw total energy ... -3.53 eV/atom

***

Record 11
The following is a PBE-GGA calculation of a relaxed BaSb2TeAu crystal, from Alexandria.

Cell and atoms, written as POSCAR:
```
BaSb2TeAu
1.0
-1.904 -4.495 4.132
6.085 -1.041 1.671
-0.495 4.363 4.518
Sb Te Au Ba
2 1 1 1
Direct
0.000 0.500 0.000 Sb
0.500 0.000 0.000 Sb
0.000 0.000 0.500 Te
0.500 0.500 0.500 Au
0.000 0.000 0.000 Ba
```

Output
Energy above the most stable polymorph in this dataset ... 1.317 eV/atom
E_form (uncorrected) ... 505 kJ/mol of formula units
Raw total energy ... -2.27 eV/atom

***

Record 12
The following is a PBE-GGA calculation of a relaxed BaSbTe2Au crystal, from Alexandria.

Cell and atoms, written as POSCAR:
```
BaSbTe2Au
1.0
6.464 0.000 0.000
0.000 6.464 0.000
0.000 0.000 6.621
Sb Te Au Ba
1 2 1 1
Direct
0.000 0.000 0.500 Sb
0.000 0.500 0.000 Te
0.500 0.000 0.000 Te
0.500 0.500 0.500 Au
0.000 0.000 0.000 Ba
```

Output
Energy above the most stable polymorph in this dataset ... 1.267 eV/atom
E_form (uncorrected) ... 413 kJ/mol of formula units
Raw total energy ... -2.27 eV/atom

***

Question: Among the records above, which one has the highest E_form (uncorrected)?
Answer: number 11

***

Question: What is the formula in the first record?
Answer: Ba2Sb2Au